Entry 1:
Sm9Dy2Y3: relaxed, PBE.

```
Sm9Dy2Y3
1.0
-3.559 -1.301 3.416
-9.453 -7.232 -1.168
-1.392 -11.673 5.551
Sm Dy Y
9 2 3
Direct
0.108 0.572 0.356 Sm
0.534 0.000 0.644 Sm
0.467 0.928 0.427 Sm
0.319 0.787 0.000 Sm
0.892 0.356 0.716 Sm
0.179 0.644 0.570 Sm
0.821 0.285 0.501 Sm
0.964 0.428 0.929 Sm
0.036 0.500 0.143 Sm
0.606 0.071 0.858 Dy
0.393 0.858 0.213 Dy
0.680 0.142 0.071 Y
0.752 0.213 0.285 Y
0.249 0.715 0.786 Y
```

Entry 2:
SmDy6Y: relaxed, PBE.

```
SmDy6Y
1.0
5.033 0.000 0.000
0.000 5.033 0.000
0.000 0.000 10.059
Sm Dy Y
1 6 1
Direct
0.000 0.000 0.500 Sm
0.500 0.500 0.000 Dy
0.500 0.500 0.500 Dy
0.500 0.000 0.250 Dy
0.500 0.000 0.750 Dy
0.000 0.500 0.250 Dy
0.000 0.500 0.750 Dy
0.000 0.000 0.000 Y
```

Entry 3:
Sm6DyY2: relaxed, PBE.

```
Sm6DyY2
1.0
4.601 -3.244 -2.149
-2.195 14.603 -1.193
-5.871 -0.407 13.597
Sm Dy Y
12 2 4
Direct
0.396 0.579 0.682 Sm
0.104 0.318 0.421 Sm
0.604 0.421 0.318 Sm
0.896 0.682 0.579 Sm
0.878 0.846 0.404 Sm
0.622 0.596 0.154 Sm
0.122 0.154 0.596 Sm
0.378 0.404 0.846 Sm
0.291 0.782 0.075 Sm
0.209 0.925 0.218 Sm
0.709 0.218 0.925 Sm
0.791 0.075 0.782 Sm
0.250 0.992 0.008 Dy
0.750 0.008 0.992 Dy
0.116 0.575 0.832 Y
0.384 0.168 0.425 Y
0.884 0.425 0.168 Y
0.616 0.832 0.575 Y
```

Entry 4:
SmDy2Y7: relaxed, PBE.

```
SmDy2Y7
1.0
-3.299 -0.715 -0.980
3.958 -14.352 -3.004
-5.058 11.575 8.432
Sm Dy Y
1 2 7
Direct
0.000 0.000 0.000 Sm
0.500 0.808 0.192 Dy
0.500 0.192 0.808 Dy
0.000 0.707 0.293 Y
0.000 0.293 0.707 Y
0.770 0.155 0.356 Y
0.230 0.845 0.644 Y
0.770 0.356 0.155 Y
0.230 0.644 0.845 Y
0.500 0.500 0.500 Y
```

Entry 5:
SmDy4Y7: relaxed, PBE.

```
SmDy4Y7
1.0
6.675 1.320 0.583
4.431 7.250 2.138
-1.341 -0.554 8.966
Sm Dy Y
1 4 7
Direct
0.000 0.000 0.000 Sm
0.548 0.641 0.285 Dy
0.452 0.359 0.715 Dy
0.778 0.838 0.690 Dy
0.222 0.162 0.310 Dy
0.736 0.515 0.950 Y
0.264 0.485 0.050 Y
0.986 0.319 0.639 Y
0.014 0.681 0.361 Y
0.297 0.811 0.614 Y
0.500 0.000 0.000 Y
0.703 0.189 0.386 Y
```

Entry 6:
Sm2Dy2Y7: relaxed, PBE.

```
Sm2Dy2Y7
1.0
8.638 0.713 1.029
0.286 6.452 0.967
0.286 -1.360 6.381
Sm Dy Y
2 2 7
Direct
0.500 0.323 0.677 Sm
0.500 0.677 0.323 Sm
0.855 0.395 0.395 Dy
0.145 0.605 0.605 Dy
0.207 0.081 0.446 Y
0.793 0.554 0.919 Y
0.793 0.919 0.554 Y
0.207 0.446 0.081 Y
0.000 0.000 0.000 Y
0.406 0.850 0.850 Y
0.594 0.150 0.150 Y
```

Number 1: theoretical density 6.967 Mg/m³, DFT formation energy 0.016 eV per atom. Number 2: theoretical density 7.913 Mg/m³, DFT formation energy 0.022 eV per atom. Number 3: theoretical density 6.813 Mg/m³, DFT formation energy 0.141 eV per atom. Number 4: theoretical density 5.631 Mg/m³, DFT formation energy 0.115 eV per atom. Number 5: theoretical density 6.060 Mg/m³, DFT formation energy 0.086 eV per atom. Number 6: theoretical density 5.699 Mg/m³, DFT formation energy 0.105 eV per atom.